No. 1
A relaxed structure of CsSiS3, computed with GGA-PBE.

Cell lengths 6.3884, 7.6378, 12.9610 Å; angles 90.00, 90.00, 101.97 degrees
With the nearest neighbours (Å) after each atom.
Atoms (fractional coordinates):
Si (0.3259, 0.2768, 0.7792)  4 S 2.10-2.19
Si (0.6741, 0.7232, 0.2208)  4 S 2.10-2.19
Si (0.1741, 0.7232, 0.2792)  4 S 2.10-2.19
Si (0.8259, 0.2768, 0.7208)  4 S 2.10-2.19
S (0.1416, 0.4523, 0.7036)  2 Si 2.19
S (0.2900, 0.7808, 0.4297)  1 Si 2.10
S (0.6416, 0.4523, 0.7964)  2 Si 2.19
S (0.7900, 0.7808, 0.0703)  1 Si 2.10
S (0.8584, 0.5477, 0.2964)  2 Si 2.19
S (0.3584, 0.5477, 0.2036)  2 Si 2.19
S (0.6575, 0.9469, 0.3136)  1 Si 2.11
S (0.8425, 0.0531, 0.8136)  1 Si 2.11
S (0.2100, 0.2192, 0.9297)  1 Si 2.10
S (0.7100, 0.2192, 0.5703)  1 Si 2.10
S (0.1575, 0.9469, 0.1864)  1 Si 2.11
S (0.3425, 0.0531, 0.6864)  1 Si 2.11
Cs (0.7199, 0.2404, 0.0716)  9 S 3.63-4.06
Cs (0.2199, 0.2404, 0.4284)  9 S 3.63-4.06
Cs (0.7801, 0.7596, 0.5716)  9 S 3.63-4.06
Cs (0.2801, 0.7596, 0.9284)  9 S 3.63-4.06

Computed properties:
space group	P2_1/c


No. 2
A relaxed structure of Cs2SiS, computed with GGA-PBE.

Cell lengths 6.0736, 6.0736, 6.0736 Å; angles 60.00, 60.00, 60.00 degrees
With the nearest neighbours (Å) after each atom.
Atoms (fractional coordinates):
Cs (0.7500, 0.7500, 0.7500)  4 S 3.72, 4 Si 3.72
Cs (0.2500, 0.2500, 0.2500)  4 S 3.72, 4 Si 3.72
Si (0.0000, 0.0000, 0.0000)  8 Cs 3.72
S (0.5000, 0.5000, 0.5000)  8 Cs 3.72

Computed properties:
DOS(E_F)	7.10	states/eV/f.u.
space group	Fm-3m


No. 3
A relaxed structure of Cs3SiS, computed with GGA-PBE.

Cell lengths 6.7290, 6.7290, 6.7290 Å; angles 90.00, 90.00, 90.00 degrees
With the nearest neighbours (Å) after each atom.
Atoms (fractional coordinates):
S (0.0000, 0.0000, 0.0000)  6 Cs 3.36
Cs (0.0000, 0.0000, 0.5000)  2 S 3.36
Cs (0.0000, 0.5000, 0.0000)  2 S 3.36
Cs (0.5000, 0.0000, 0.0000)  2 S 3.36
Si (0.5000, 0.5000, 0.5000)  12 Cs 4.76

Computed properties:
DOS(E_F)	0.00	states/eV/f.u.
space group	Pm-3m


No. 4
A relaxed structure of Cs5SiS4, computed with GGA-PBE.

Cell lengths 8.1471, 10.8462, 9.6988 Å; angles 90.00, 90.00, 90.00 degrees
With the nearest neighbours (Å) after each atom.
Atoms (fractional coordinates):
Si (0.1929, 0.0000, 0.0000)  4 S 2.17-2.18
Si (0.8071, 0.5000, 0.5000)  4 S 2.17-2.18
S (0.3465, 0.0000, 0.8170)  1 Si 2.17
S (0.9625, 0.3365, 0.5000)  1 Si 2.18
S (0.0375, 0.1635, 0.0000)  1 Si 2.18
S (0.6535, 0.5000, 0.6830)  1 Si 2.17
S (0.0375, 0.8365, 0.0000)  1 Si 2.18
S (0.9625, 0.6635, 0.5000)  1 Si 2.18
S (0.3465, 0.0000, 0.1830)  1 Si 2.17
S (0.6535, 0.5000, 0.3170)  1 Si 2.17
Cs (0.7296, 0.8117, 0.2514)  4 S 3.46-3.79
Cs (0.8583, 0.5000, 0.0000)  2 S 3.50
Cs (0.2704, 0.6883, 0.7514)  4 S 3.46-3.79
Cs (0.2704, 0.3117, 0.2486)  4 S 3.46-3.79
Cs (0.1417, 0.0000, 0.5000)  2 S 3.50
Cs (0.7296, 0.1883, 0.7486)  4 S 3.46-3.79
Cs (0.2704, 0.3117, 0.7514)  4 S 3.46-3.79
Cs (0.2704, 0.6883, 0.2486)  4 S 3.46-3.79
Cs (0.7296, 0.8117, 0.7486)  4 S 3.46-3.79
Cs (0.7296, 0.1883, 0.2514)  4 S 3.46-3.79

Computed properties:
DOS(E_F)	2.46	states/eV/f.u.
space group	Pmmn


No. 5
A relaxed structure of Cs2SmSi2S6, computed with GGA-PBE.

Cell lengths 7.3205, 7.3174, 8.0929 Å; angles 117.22, 90.00, 120.01 degrees
With the nearest neighbours (Å) after each atom.
Atoms (fractional coordinates):
Si (0.0516, 0.1031, 0.1911)  3 S 2.09-2.10
Si (0.9484, 0.8969, 0.8089)  3 S 2.09-2.10
S (0.2189, 0.9546, 0.2277)  1 Si 2.10
S (0.2427, 0.4854, 0.3007)  1 Si 2.09
S (0.7357, 0.9546, 0.2277)  1 Si 2.10
S (0.2643, 0.0454, 0.7723)  1 Si 2.10
S (0.7573, 0.5146, 0.6993)  1 Si 2.09
S (0.7811, 0.0454, 0.7723)  1 Si 2.10
Cs (0.7249, 0.4499, 0.2110)  9 S 3.59-3.75
Cs (0.2751, 0.5501, 0.7890)  9 S 3.59-3.75
Sm (0.5000, 0.0000, 0.5000)  6 S 2.77-2.80

Computed properties:
DOS(E_F)	2.60	states/eV/f.u.
space group	C2/m


No. 6
A relaxed structure of Cs2SiSnS4, computed with GGA-PBE.

Cell lengths 6.4411, 8.0257, 12.7704 Å; angles 84.19, 75.39, 66.34 degrees
With the nearest neighbours (Å) after each atom.
Atoms (fractional coordinates):
S (0.4805, 0.6887, 0.3932)  1 Sn 2.42, 1 Si 2.59
S (0.1876, 0.1887, 0.8932)  1 Sn 2.42, 1 Si 2.59
S (0.5624, 0.3113, 0.6068)  1 Sn 2.42, 1 Si 2.59
S (0.6237, 0.1887, 0.1068)  1 Sn 2.42, 1 Si 2.59
S (0.2695, 0.8113, 0.1068)  1 Sn 2.42, 1 Si 2.59
S (0.8308, 0.6887, 0.6068)  1 Sn 2.42, 1 Si 2.59
S (0.1263, 0.3113, 0.3932)  1 Sn 2.42, 1 Si 2.59
S (0.9192, 0.8113, 0.8932)  1 Sn 2.42, 1 Si 2.59
Cs (0.9291, 0.5000, 0.1419)  8 S 3.71-4.09
Cs (0.1791, 0.0000, 0.6419)  8 S 3.71-4.09
Cs (0.5709, 0.5000, 0.8581)  8 S 3.71-4.09
Cs (0.8209, 0.0000, 0.3581)  8 S 3.71-4.09
Si (0.2500, 0.5000, 0.5000)  4 S 2.59
Si (0.5000, 0.0000, 0.0000)  4 S 2.59
Sn (0.7500, 0.5000, 0.5000)  4 S 2.42
Sn (0.0000, 0.0000, 0.0000)  4 S 2.42

Computed properties:
space group	Fddd


No. 7
A relaxed structure of Cs2TaSiS, computed with GGA-PBE.

Cell lengths 7.2193, 4.4239, 7.2193 Å; angles 90.00, 90.00, 90.00 degrees
With the nearest neighbours (Å) after each atom.
Atoms (fractional coordinates):
S (0.0000, 0.5000, 0.0000)  2 Si 2.21
Cs (0.5000, 0.0000, 0.0000)  2 Si 3.61
Cs (0.0000, 0.0000, 0.5000)  2 Si 3.61
Ta (0.5000, 0.5000, 0.5000)  8 Cs 4.23, 2 Ta 4.42
Si (0.0000, 0.0000, 0.0000)  2 S 2.21

Computed properties:
DOS(E_F)	8.93	states/eV/f.u.
space group	P4/mmm


No. 8
A relaxed structure of CsTbSiS4, computed with GGA-PBE.

Cell lengths 6.4445, 6.7454, 18.0014 Å; angles 90.00, 90.00, 90.00 degrees
With the nearest neighbours (Å) after each atom.
Atoms (fractional coordinates):
S (0.1064, 0.0764, 0.2203)  1 Si 2.13
S (0.3940, 0.7528, 0.3419)  1 Si 2.15
S (0.1060, 0.2472, 0.8419)  1 Si 2.15
S (0.8940, 0.7472, 0.6581)  1 Si 2.15
S (0.3936, 0.9236, 0.7203)  1 Si 2.13
S (0.5518, 0.9886, 0.9016)  1 Si 2.11
S (0.4320, 0.2452, 0.3520)  1 Si 2.14
S (0.9320, 0.2548, 0.6480)  1 Si 2.14
S (0.0680, 0.7548, 0.8520)  1 Si 2.14
S (0.6064, 0.4236, 0.7797)  1 Si 2.13
S (0.6060, 0.2528, 0.1581)  1 Si 2.15
S (0.4482, 0.4886, 0.5984)  1 Si 2.11
S (0.8936, 0.5764, 0.2797)  1 Si 2.13
S (0.5680, 0.7452, 0.1480)  1 Si 2.14
S (0.0518, 0.5114, 0.0984)  1 Si 2.11
S (0.9482, 0.0114, 0.4016)  1 Si 2.11
Tb (0.2909, 0.4776, 0.2283)  7 S 2.80-2.96
Tb (0.2091, 0.5224, 0.7283)  7 S 2.80-2.96
Tb (0.7091, 0.9776, 0.2717)  7 S 2.80-2.96
Tb (0.7909, 0.0224, 0.7717)  7 S 2.80-2.96
Cs (0.5171, 0.9942, 0.5324)  8 S 3.51-3.88
Cs (0.9829, 0.0058, 0.0324)  8 S 3.51-3.88
Cs (0.4829, 0.4942, 0.9676)  8 S 3.51-3.88
Cs (0.0171, 0.5058, 0.4676)  8 S 3.51-3.88
Si (0.2906, 0.9836, 0.8306)  4 S 2.11-2.15
Si (0.2094, 0.0164, 0.3306)  4 S 2.11-2.15
Si (0.7094, 0.4836, 0.6694)  4 S 2.11-2.15
Si (0.7906, 0.5164, 0.1694)  4 S 2.11-2.15

Computed properties:
DOS(E_F)	0.00	states/eV/f.u.
space group	P2_12_12_1


No. 9
A relaxed structure of Cs2TbSi2S6, computed with GGA-PBE.

Cell lengths 7.2744, 7.2738, 8.0165 Å; angles 117.15, 90.00, 120.00 degrees
With the nearest neighbours (Å) after each atom.
Atoms (fractional coordinates):
S (0.7550, 0.5099, 0.7018)  1 Si 2.09
S (0.2233, 0.9600, 0.2322)  1 Si 2.10
S (0.7366, 0.9600, 0.2322)  1 Si 2.10
S (0.2450, 0.4901, 0.2982)  1 Si 2.09
S (0.7767, 0.0400, 0.7678)  1 Si 2.10
S (0.2634, 0.0400, 0.7678)  1 Si 2.10
Si (0.9463, 0.8926, 0.8066)  3 S 2.09-2.10
Si (0.0537, 0.1074, 0.1934)  3 S 2.09-2.10
Cs (0.7261, 0.4523, 0.2107)  9 S 3.58-3.76
Cs (0.2739, 0.5477, 0.7893)  9 S 3.58-3.76
Tb (0.5000, 0.0000, 0.5000)  6 S 2.73-2.75

Computed properties:
DOS(E_F)	2.77	states/eV/f.u.
space group	C2/m


No. 10
A relaxed structure of Cs2TbSiS4, computed with GGA-PBE.

Cell lengths 6.5845, 7.9398, 13.3809 Å; angles 84.14, 75.76, 65.50 degrees
With the nearest neighbours (Å) after each atom.
Atoms (fractional coordinates):
S (0.3393, 0.8262, 0.0926)  1 Si 2.19
S (0.4107, 0.6738, 0.4074)  1 Si 2.19
S (0.4919, 0.3262, 0.5926)  1 Si 2.19
S (0.2581, 0.1738, 0.9074)  1 Si 2.19
S (0.5681, 0.1738, 0.0926)  1 Si 2.19
S (0.1819, 0.3262, 0.4074)  1 Si 2.19
S (0.9155, 0.6738, 0.5926)  1 Si 2.19
S (0.8345, 0.8262, 0.9074)  1 Si 2.19
Cs (0.9289, 0.5000, 0.1422)  6 S 3.85-4.16
Cs (0.5711, 0.5000, 0.8578)  6 S 3.85-4.16
Cs (0.1789, 0.0000, 0.6422)  6 S 3.85-4.16
Cs (0.8211, 0.0000, 0.3578)  6 S 3.85-4.16
Si (0.2500, 0.5000, 0.5000)  4 S 2.19
Si (0.5000, 0.0000, 0.0000)  4 S 2.19
Tb (0.0000, 0.0000, 0.0000)  4 S 2.62
Tb (0.7500, 0.5000, 0.5000)  4 S 2.62

Computed properties:
DOS(E_F)	2.63	states/eV/f.u.
space group	Fddd


No. 11
A relaxed structure of CsTbSiS4, computed with GGA-PBE.

Cell lengths 6.4241, 6.7380, 9.4787 Å; angles 90.00, 108.29, 90.00 degrees
With the nearest neighbours (Å) after each atom.
Atoms (fractional coordinates):
Cs (0.7312, 0.7500, 0.9371)  8 S 3.46-3.77
Cs (0.2688, 0.2500, 0.0629)  8 S 3.46-3.77
S (0.0013, 0.4972, 0.6938)  1 Si 2.15
S (0.5861, 0.2500, 0.8031)  1 Si 2.11
S (0.5763, 0.2500, 0.4347)  1 Si 2.12
S (0.9987, 0.9972, 0.3062)  1 Si 2.15
S (0.4139, 0.7500, 0.1969)  1 Si 2.11
S (0.9987, 0.5028, 0.3062)  1 Si 2.15
S (0.4237, 0.7500, 0.5653)  1 Si 2.12
S (0.0013, 0.0028, 0.6938)  1 Si 2.15
Si (0.7795, 0.2500, 0.6592)  4 S 2.11-2.15
Si (0.2205, 0.7500, 0.3408)  4 S 2.11-2.15
Tb (0.2254, 0.2500, 0.5450)  6 S 2.77-2.85
Tb (0.7746, 0.7500, 0.4550)  6 S 2.77-2.85

Computed properties:
DOS(E_F)	0.00	states/eV/f.u.
space group	P2_1/m


No. 12
A relaxed structure of CsTiSi2S8, computed with GGA-PBE.

Cell lengths 6.1561, 6.1561, 9.1939 Å; angles 90.00, 90.00, 120.00 degrees
With the nearest neighbours (Å) after each atom.
Atoms (fractional coordinates):
Si (0.3333, 0.6667, 0.7066)  4 S 2.10-2.15
Si (0.6667, 0.3333, 0.2934)  4 S 2.10-2.15
S (0.0040, 0.6660, 0.3590)  1 Si 2.15
S (0.9960, 0.3340, 0.6410)  1 Si 2.15
S (0.3380, 0.0040, 0.6410)  1 Si 2.15
S (0.6660, 0.6620, 0.6410)  1 Si 2.15
S (0.3333, 0.6667, 0.9349)  1 Si 2.10
S (0.6620, 0.9960, 0.3590)  1 Si 2.15
S (0.6667, 0.3333, 0.0651)  1 Si 2.10
S (0.3340, 0.3380, 0.3590)  1 Si 2.15
Cs (0.0000, 0.0000, 0.0000)  12 S 3.60-3.90
Ti (0.0000, 0.0000, 0.5000)  6 S 2.44

Computed properties:
DOS(E_F)	11.36	states/eV/f.u.
space group	P-3


The calculation returns the following energy relative to the elements, uncorrected values, one per record and in order: -0.78; 0.20; -0.12; -0.96; -1.08; -0.62; 1.22; -1.45; -1.08; -1.16; -1.44; -0.55 eV per atom.